Below is an optimized crystal structure of ScCu2Re, with properties calculated at the PBE level.

Unit cell a=3.7884 b=3.7884 c=8.2502 alpha=90.00 beta=90.00 gamma=90.00
Space group I-4m2 (No. 119)
Inequivalent atoms, fractional coordinates:
Sc (0.0000, 0.0000, 0.0000) (multiplicity 2)
Cu (0.0000, 0.0000, 0.5000) (multiplicity 2)
Cu (0.0000, 0.5000, 0.7500) (multiplicity 2)
Re (0.0000, 0.5000, 0.2500) (multiplicity 2)

Calculated values
Formation energy ... 0.1867 eV per atom
Energy ... -6.556 eV per atom